The following is a PBE calculation of a geometry-optimized BeNb2AlGa structure, from the Alexandria database.

Symmetry ... No. 123

Unit cell a=4.787 b=4.787 c=4.420 alpha=90.00 beta=90.00 gamma=90.00
Atoms (fractional coordinates):
Be (0.000, 0.000, 0.000)
Nb (0.000, 0.500, 0.500)
Nb (0.500, 0.000, 0.500)
Al (0.500, 0.500, 0.000)
Ga (0.500, 0.500, 0.500)


The following is a PBE calculation of a geometry-optimized Be2AlGa2Ni5 structure, from the Alexandria database.

Symmetry ... No. 127

Unit cell a=8.323 b=8.323 c=3.258 alpha=90.00 beta=90.00 gamma=90.00
Atoms (fractional coordinates):
Be (0.123, 0.377, 0.000)
Be (0.377, 0.877, 0.000)
Be (0.623, 0.123, 0.000)
Be (0.877, 0.623, 0.000)
Al (0.000, 0.000, 0.000)
Al (0.500, 0.500, 0.000)
Ga (0.172, 0.672, 0.000)
Ga (0.328, 0.172, 0.000)
Ga (0.672, 0.828, 0.000)
Ga (0.828, 0.328, 0.000)
Ni (0.000, 0.500, 0.500)
Ni (0.080, 0.204, 0.500)
Ni (0.204, 0.920, 0.500)
Ni (0.296, 0.420, 0.500)
Ni (0.420, 0.704, 0.500)
Ni (0.500, 0.000, 0.500)
Ni (0.580, 0.296, 0.500)
Ni (0.704, 0.580, 0.500)
Ni (0.796, 0.080, 0.500)
Ni (0.920, 0.796, 0.500)


The following is a PBE calculation of a geometry-optimized Be2Al2GaNi5 structure, from the Alexandria database.

Symmetry ... No. 127

Unit cell a=8.393 b=8.393 c=3.175 alpha=90.00 beta=90.00 gamma=90.00
Atoms (fractional coordinates):
Be (0.122, 0.378, 0.000)
Be (0.378, 0.878, 0.000)
Be (0.622, 0.122, 0.000)
Be (0.878, 0.622, 0.000)
Al (0.172, 0.672, 0.000)
Al (0.328, 0.172, 0.000)
Al (0.672, 0.828, 0.000)
Al (0.828, 0.328, 0.000)
Ga (0.000, 0.000, 0.000)
Ga (0.500, 0.500, 0.000)
Ni (0.000, 0.500, 0.500)
Ni (0.077, 0.207, 0.500)
Ni (0.207, 0.923, 0.500)
Ni (0.293, 0.423, 0.500)
Ni (0.423, 0.707, 0.500)
Ni (0.500, 0.000, 0.500)
Ni (0.577, 0.293, 0.500)
Ni (0.707, 0.577, 0.500)
Ni (0.793, 0.077, 0.500)
Ni (0.923, 0.793, 0.500)


The following is a PBE calculation of a geometry-optimized BeAlGaOs2 structure, from the Alexandria database.

Symmetry ... No. 123

Unit cell a=4.538 b=4.538 c=4.345 alpha=90.00 beta=90.00 gamma=90.00
Atoms (fractional coordinates):
Be (0.000, 0.000, 0.000)
Al (0.500, 0.500, 0.000)
Ga (0.500, 0.500, 0.500)
Os (0.000, 0.500, 0.500)
Os (0.500, 0.000, 0.500)


The following is a PBE calculation of a geometry-optimized BeAlGaP2 structure, from the Alexandria database.

Symmetry ... No. 123

Unit cell a=4.618 b=4.618 c=4.930 alpha=90.00 beta=90.00 gamma=90.00
Atoms (fractional coordinates):
Be (0.000, 0.000, 0.000)
Al (0.500, 0.500, 0.500)
Ga (0.500, 0.500, 0.000)
P (0.000, 0.500, 0.500)
P (0.500, 0.000, 0.500)


The following is a PBE calculation of a geometry-optimized Be2AlGaPb structure, from the Alexandria database.

Symmetry ... No. 123

Unit cell a=4.491 b=4.491 c=6.102 alpha=90.00 beta=90.00 gamma=90.00
Atoms (fractional coordinates):
Be (0.000, 0.500, 0.000)
Be (0.500, 0.000, 0.000)
Al (0.000, 0.000, 0.500)
Ga (0.500, 0.500, 0.500)
Pb (0.500, 0.500, 0.000)


The following is a PBE calculation of a geometry-optimized Be2AlGa2Pd5 structure, from the Alexandria database.

Symmetry ... No. 127

Unit cell a=9.543 b=9.543 c=3.095 alpha=90.00 beta=90.00 gamma=90.00
Atoms (fractional coordinates):
Be (0.130, 0.370, 0.000)
Be (0.370, 0.870, 0.000)
Be (0.630, 0.130, 0.000)
Be (0.870, 0.630, 0.000)
Al (0.000, 0.000, 0.000)
Al (0.500, 0.500, 0.000)
Ga (0.162, 0.662, 0.000)
Ga (0.338, 0.162, 0.000)
Ga (0.662, 0.838, 0.000)
Ga (0.838, 0.338, 0.000)
Pd (0.000, 0.500, 0.500)
Pd (0.108, 0.185, 0.500)
Pd (0.185, 0.892, 0.500)
Pd (0.315, 0.392, 0.500)
Pd (0.392, 0.685, 0.500)
Pd (0.500, 0.000, 0.500)
Pd (0.608, 0.315, 0.500)
Pd (0.685, 0.608, 0.500)
Pd (0.815, 0.108, 0.500)
Pd (0.892, 0.815, 0.500)


The following is a PBE calculation of a geometry-optimized Be2AlGaPd structure, from the Alexandria database.

Symmetry ... No. 123

Unit cell a=4.104 b=4.104 c=4.855 alpha=90.00 beta=90.00 gamma=90.00
Atoms (fractional coordinates):
Be (0.000, 0.500, 0.000)
Be (0.500, 0.000, 0.000)
Al (0.000, 0.000, 0.500)
Ga (0.000, 0.000, 0.000)
Pd (0.500, 0.500, 0.500)


The following is a PBE calculation of a geometry-optimized BeAlGaPt2 structure, from the Alexandria database.

Symmetry ... No. 123

Unit cell a=4.315 b=4.315 c=4.202 alpha=90.00 beta=90.00 gamma=90.00
Atoms (fractional coordinates):
Be (0.000, 0.000, 0.000)
Al (0.000, 0.000, 0.500)
Ga (0.500, 0.500, 0.500)
Pt (0.000, 0.500, 0.000)
Pt (0.500, 0.000, 0.000)


The following is a PBE calculation of a geometry-optimized RbBe2AlGa structure, from the Alexandria database.

Symmetry ... No. 123

Unit cell a=4.523 b=4.523 c=6.216 alpha=90.00 beta=90.00 gamma=90.00
Atoms (fractional coordinates):
Rb (0.000, 0.000, 0.000)
Be (0.000, 0.500, 0.500)
Be (0.500, 0.000, 0.500)
Al (0.500, 0.500, 0.000)
Ga (0.000, 0.000, 0.500)


The following is a PBE calculation of a geometry-optimized BeAl2GaRh structure, from the Alexandria database.

Symmetry ... No. 123

Unit cell a=4.634 b=4.634 c=4.618 alpha=90.00 beta=90.00 gamma=90.00
Atoms (fractional coordinates):
Be (0.000, 0.000, 0.000)
Al (0.000, 0.500, 0.500)
Al (0.500, 0.000, 0.500)
Ga (0.500, 0.500, 0.500)
Rh (0.500, 0.500, 0.000)


The following is a PBE calculation of a geometry-optimized BeAlGa2Rh structure, from the Alexandria database.

Symmetry ... No. 123

Unit cell a=4.239 b=4.239 c=4.342 alpha=90.00 beta=90.00 gamma=90.00
Atoms (fractional coordinates):
Be (0.000, 0.000, 0.000)
Al (0.000, 0.000, 0.500)
Ga (0.000, 0.500, 0.000)
Ga (0.500, 0.000, 0.000)
Rh (0.500, 0.500, 0.500)


These records have calculated total energy values of -4.9116 -4.9527 -5.1129 -4.9241 -3.2848 -2.4300 -4.8376 -3.2355 -4.5314 -2.0261 -3.3761 -3.7788 eV per atom, in the order they appear.
These records have E_form values of 1.22 -0.34 -0.43 1.67 0.98 1.16 -0.52 0.65 -0.02 1.01 0.94 0.40 eV per atom, in the order they appear.